(1)
## NbGaCoAu (PBE)

Data for crystalline NbGaCoAu at its relaxed geometry.

Properties
- relative energy among the computed polymorphs (meV/atom) = 73
- calculated total energy (eV per cell) = -93.8
- density (g/cm³) = 11.287

a = 6.2683 Å, b = 6.2683 Å, c = 6.2683 Å
α = 90.00°, β = 90.00°, γ = 90.00°
Last column: nearest neighbours and their distance in Å.
Space group F-43m (No. 216)
Unique sites:
Nb (0.0000, 0.0000, 0.0000) [4 per cell]  4 Ga 2.71, 4 Au 2.71
Ga (0.2500, 0.2500, 0.2500) [4 per cell]  4 Nb 2.71, 4 Co 2.71
Co (0.0000, 0.0000, 0.5000) [4 per cell]  4 Ga 2.71, 4 Au 2.71
Au (0.2500, 0.2500, 0.7500) [4 per cell]  4 Nb 2.71, 4 Co 2.71

=====

(2)
## PmSiAu (PBE)

Data for crystalline PmSiAu at its relaxed geometry.

Properties
- relative energy among the computed polymorphs (meV/atom) = 0
- calculated total energy (eV per cell) = -31.8
- density (g/cm³) = 9.224

a = 4.1531 Å, b = 4.3081 Å, c = 7.4465 Å
α = 90.00°, β = 90.00°, γ = 90.00°
Last column: nearest neighbours and their distance in Å.
Space group Amm2 (No. 38)
Unique sites:
Pm (0.0000, 0.0000, 0.0000) [2 per cell]  6 Si 3.23-3.24, 6 Au 3.24
Si (0.5000, 0.0000, 0.6678) [2 per cell]  3 Au 2.48-2.49
Au (0.5000, 0.0000, 0.3339) [2 per cell]  3 Si 2.48-2.49

=====

(3)
## PaCoPb (PBE)

Data for crystalline PaCoPb at its relaxed geometry.

Properties
- calculated total energy (eV per cell) = -71.2
- density (g/cm³) = 10.900

a = 6.7163 Å, b = 6.7163 Å, c = 6.7163 Å
α = 90.00°, β = 90.00°, γ = 90.00°
Last column: nearest neighbours and their distance in Å.
Space group F-43m (No. 216)
Unique sites:
Pa (0.0000, 0.0000, 0.0000) [4 per cell]  4 Pb 2.91
Co (0.0000, 0.0000, 0.5000) [4 per cell]  4 Pb 2.91
Pb (0.2500, 0.2500, 0.2500) [4 per cell]  4 Pa 2.91, 4 Co 2.91

=====

(4)
## Y2Nb3Ge4 (PBE)

Data for crystalline Y2Nb3Ge4 at its relaxed geometry.

Properties
- calculated total energy (eV per cell) = -273.7
- density (g/cm³) = 7.231

a = 7.0236 Å, b = 13.5820 Å, c = 7.1939 Å
α = 90.00°, β = 90.00°, γ = 90.00°
Last column: nearest neighbours and their distance in Å.
Space group Pnma (No. 62)
Unique sites:
Y (0.0028, 0.0949, 0.1736) [8 per cell]  7 Ge 2.86-3.09
Nb (0.1600, 0.6265, 0.3284) [8 per cell]  6 Ge 2.65-2.79
Nb (0.1647, 0.2500, 0.5115) [4 per cell]  6 Ge 2.75-2.87, 2 Nb 3.06
Ge (0.0400, 0.2500, 0.8784) [4 per cell]  1 Ge 2.63, 6 Nb 2.65-2.78
Ge (0.1739, 0.0416, 0.5390) [8 per cell]  4 Nb 2.65-2.84, 1 Ge 2.75, 1 Y 2.86
Ge (0.1953, 0.7500, 0.6371) [4 per cell]  1 Ge 2.63, 4 Nb 2.75-2.87, 2 Y 2.87

=====

(5)
## Li2Mg2FeSn2Ir (PBE)

Data for crystalline Li2Mg2FeSn2Ir at its relaxed geometry.

Properties
- calculated total energy (eV per cell) = -34.2
- density (g/cm³) = 6.977

a = 4.4948 Å, b = 4.4948 Å, c = 6.4559 Å
α = 90.00°, β = 90.00°, γ = 90.00°
Last column: nearest neighbours and their distance in Å.
Space group P-4m2 (No. 115)
Unique sites:
Li (0.0000, 0.0000, 0.0000) [1 per cell]  4 Mg 2.74, 4 Sn 2.79
Li (0.5000, 0.5000, 0.5000) [1 per cell]  4 Sn 2.74, 4 Mg 2.80
Mg (0.0000, 0.5000, 0.2421) [2 per cell]  4 Li 2.74-2.80, 2 Ir 2.74, 2 Fe 2.80
Fe (0.0000, 0.0000, 0.5000) [1 per cell]  4 Sn 2.74, 4 Mg 2.80
Sn (0.0000, 0.5000, 0.7437) [2 per cell]  2 Fe 2.74, 4 Li 2.74-2.79, 2 Ir 2.79
Ir (0.5000, 0.5000, 0.0000) [1 per cell]  4 Mg 2.74, 4 Sn 2.79

=====

(6)
## NdGdPb2 (PBE)

Data for crystalline NdGdPb2 at its relaxed geometry.

Properties
- calculated total energy (eV per cell) = -38.0
- density (g/cm³) = 9.661

a = 4.4873 Å, b = 4.6240 Å, c = 11.8604 Å
α = 90.00°, β = 90.00°, γ = 90.00°
Last column: nearest neighbours and their distance in Å.
Space group Amm2 (No. 38)
Unique sites:
Nd (0.0000, 0.0000, 0.0000) [2 per cell]  7 Pb 3.21-3.57
Gd (0.5000, 0.0000, 0.7374) [2 per cell]  7 Pb 3.21-3.57
Pb (0.0000, 0.0000, 0.2703) [2 per cell]  3 Nd 3.21-3.57, 2 Pb 3.23, 4 Gd 3.25
Pb (0.5000, 0.0000, 0.4665) [2 per cell]  3 Gd 3.21-3.57, 2 Pb 3.23, 4 Nd 3.25

=====

(7)
## Si2AsIr (PBE)

Data for crystalline Si2AsIr at its relaxed geometry.

Properties
- calculated total energy (eV per cell) = -92.6
- density (g/cm³) = 8.769

a = 6.2564 Å, b = 6.2564 Å, c = 6.2564 Å
α = 90.00°, β = 90.00°, γ = 90.00°
Last column: nearest neighbours and their distance in Å.
Space group F-43m (No. 216)
Unique sites:
Si (0.0000, 0.0000, 0.0000) [4 per cell]  4 Si 2.71, 4 Ir 2.71
Si (0.2500, 0.2500, 0.2500) [4 per cell]  4 As 2.71, 4 Si 2.71
As (0.0000, 0.0000, 0.5000) [4 per cell]  4 Ir 2.71, 4 Si 2.71
Ir (0.2500, 0.2500, 0.7500) [4 per cell]  4 Si 2.71, 4 As 2.71

=====

(8)
## LuNiSnW (PBE)

Data for crystalline LuNiSnW at its relaxed geometry.

Properties
- calculated total energy (eV per cell) = -99.2
- density (g/cm³) = 11.981

a = 6.6739 Å, b = 6.6739 Å, c = 6.6739 Å
α = 90.00°, β = 90.00°, γ = 90.00°
Last column: nearest neighbours and their distance in Å.
Space group F-43m (No. 216)
Unique sites:
Lu (0.0000, 0.0000, 0.0000) [4 per cell]  4 W 2.89, 4 Sn 2.89
Ni (0.0000, 0.0000, 0.5000) [4 per cell]  4 Sn 2.89, 4 W 2.89
Sn (0.2500, 0.2500, 0.2500) [4 per cell]  4 Ni 2.89, 4 Lu 2.89
W (0.2500, 0.2500, 0.7500) [4 per cell]  4 Ni 2.89, 4 Lu 2.89